# Li2VF7

A relaxed structure of Li2VF7 (GGA+U, Alexandria).

Results
- relative energy among the computed polymorphs (meV per atom) = 42
- M_tot (μB/f.u.) = 0.07
- raw total energy (eV per atom) = -5.049
- V (Å³/atom) = 14.81

Unit cell a=5.9556 b=6.5903 c=7.5461 alpha=90.00 beta=90.00 gamma=90.00
Closest atoms and distances in Å follow each position.
Space group Imm2 (No. 44)
Unique sites:
Li (0.0000, 0.2341, 0.0000) x4  2 F 1.76-1.97
V (0.0000, 0.5000, 0.3735) x2  6 F 1.76-1.93
F (0.0000, 0.0000, 0.1120) x2  2 Li 1.76
F (0.0000, 0.5000, 0.1181) x2  1 V 1.93, 2 Li 1.97
F (0.0000, 0.5000, 0.6063) x2  1 V 1.76
F (0.2157, 0.3055, 0.3613) x8  1 V 1.82, 1 Li 2.01

***

# Li2V3F8

A relaxed structure of Li2V3F8 (GGA+U, Alexandria).

Results
- relative energy among the computed polymorphs (meV per atom) = 31
- M_tot (μB/f.u.) = 9.00
- raw total energy (eV per atom) = -5.845
- V (Å³/atom) = 13.60

Unit cell a=6.3176 b=6.3176 c=15.3414 alpha=90.00 beta=90.00 gamma=120.00
Closest atoms and distances in Å follow each position.
Space group R-3m (No. 166, hexagonal axes)
Unique sites:
Li (0.0000, 0.0000, 0.1146) x6  3 F 1.96
V (0.0000, 0.5000, 0.0000) x9  6 F 2.11-2.13
F (0.0000, 0.0000, 0.4020) x6  3 V 2.11
F (0.0066, 0.5033, 0.4068) x18  1 Li 1.96, 2 V 2.13

***

# LiVF3

A relaxed structure of LiVF3 (GGA+U, Alexandria).

Results
- relative energy among the computed polymorphs (meV per atom) = 52
- M_tot (μB/f.u.) = 3.00
- raw total energy (eV per atom) = -5.710
- V (Å³/atom) = 11.69

Unit cell a=6.1609 b=6.1609 c=6.1609 alpha=90.00 beta=90.00 gamma=90.00
Closest atoms and distances in Å follow each position.
Space group P2_13 (No. 198)
Unique sites:
Li (0.0851, 0.0851, 0.0851) x4  6 F 2.10-2.13
V (0.1513, 0.6513, 0.8487) x4  6 F 2.11-2.14
F (0.0148, 0.2565, 0.3709) x12  2 Li 2.10-2.13, 2 V 2.11-2.14

***

# Li2V2F7

A relaxed structure of Li2V2F7 (GGA+U, Alexandria).

Results
- relative energy among the computed polymorphs (meV per atom) = 58
- M_tot (μB/f.u.) = 5.00
- raw total energy (eV per atom) = -5.660
- V (Å³/atom) = 11.85

Unit cell a=7.6026 b=6.7106 c=10.3537 alpha=90.00 beta=99.20 gamma=90.00
Closest atoms and distances in Å follow each position.
Space group C2/c (No. 15)
Unique sites:
Li (0.0420, 0.1955, 0.4826) x8  5 F 1.93-2.12
V (0.2360, 0.0039, 0.7532) x8  7 F 2.03-2.23
F (0.0000, 0.4602, 0.7500) x4  2 V 2.03
F (0.0308, 0.0380, 0.8698) x8  2 Li 1.95-2.01, 1 V 2.13
F (0.1809, 0.2521, 0.1297) x8  1 Li 1.93, 2 V 2.08-2.14
F (0.2468, 0.2474, 0.6239) x8  2 Li 1.99-2.12, 2 V 2.12-2.13

***

# Li2VF4

A relaxed structure of Li2VF4 (GGA+U, Alexandria).

Results
- relative energy among the computed polymorphs (meV per atom) = 23
- M_tot (μB/f.u.) = 3.00
- raw total energy (eV per atom) = -5.483
- V (Å³/atom) = 11.60

Unit cell a=5.2657 b=3.1897 c=10.5566 alpha=90.00 beta=113.68 gamma=90.00
Closest atoms and distances in Å follow each position.
Space group P2/c (No. 13)
Unique sites:
Li (0.1570, 0.0013, 0.4224) x4  4 F 1.85-1.98
V (0.5000, 0.4990, 0.7500) x2  6 F 2.09-2.16
F (0.2468, 0.0009, 0.1235) x4  2 Li 1.98, 2 V 2.16
F (0.2635, 0.4987, 0.8686) x4  2 Li 1.85

***

# Li2VF4

A relaxed structure of Li2VF4 (GGA+U, Alexandria).

Results
- relative energy among the computed polymorphs (meV per atom) = 55
- M_tot (μB/f.u.) = 3.00
- raw total energy (eV per atom) = -5.451
- V (Å³/atom) = 11.12

Unit cell a=4.1629 b=4.1629 c=8.9812 alpha=90.00 beta=90.00 gamma=90.00
Closest atoms and distances in Å follow each position.
Space group I4/mmm (No. 139)
Unique sites:
Li (0.0000, 0.5000, 0.2500) x4  6 F 2.09-2.25
V (0.0000, 0.0000, 0.0000) x2  6 F 2.08-2.10
F (0.0000, 0.0000, 0.2343) x4  4 Li 2.09, 1 V 2.10
F (0.0000, 0.5000, 0.0000) x4  2 V 2.08, 2 Li 2.25

***

# LiVF3

A relaxed structure of LiVF3 (GGA+U, Alexandria).

Results
- relative energy among the computed polymorphs (meV per atom) = 264
- M_tot (μB/f.u.) = 3.00
- raw total energy (eV per atom) = -5.498
- V (Å³/atom) = 14.18

Unit cell a=4.1388 b=4.1388 c=4.1388 alpha=90.00 beta=90.00 gamma=90.00
Closest atoms and distances in Å follow each position.
Space group Pm-3m (No. 221)
Unique sites:
Li (0.0000, 0.0000, 0.0000) x1  12 F 2.93
V (0.5000, 0.5000, 0.5000) x1  6 F 2.07
F (0.0000, 0.5000, 0.5000) x3  2 V 2.07

***

# LiVF3

A relaxed structure of LiVF3 (GGA+U, Alexandria).

Results
- relative energy among the computed polymorphs (meV per atom) = 8
- M_tot (μB/f.u.) = 3.00
- raw total energy (eV per atom) = -5.754
- V (Å³/atom) = 11.83

Unit cell a=5.3837 b=4.9865 c=8.8126 alpha=90.00 beta=90.00 gamma=90.00
Closest atoms and distances in Å follow each position.
Space group Pnna (No. 52)
Unique sites:
Li (0.2500, 0.0000, 0.2027) x4  4 F 1.93-2.11
V (0.2500, 0.0000, 0.5941) x4  6 F 2.12-2.13
F (0.0563, 0.2500, 0.7500) x4  2 Li 2.11, 2 V 2.13
F (0.0888, 0.2160, 0.4098) x8  1 Li 1.93, 2 V 2.12-2.13

***

# LiVF5

A relaxed structure of LiVF5 (GGA+U, Alexandria).

Results
- relative energy among the computed polymorphs (meV per atom) = 32
- M_tot (μB/f.u.) = 1.00
- raw total energy (eV per atom) = -5.439
- V (Å³/atom) = 13.40

Unit cell a=3.8871 b=6.4545 c=7.4794 alpha=90.00 beta=90.00 gamma=90.00
Closest atoms and distances in Å follow each position.
Space group Immm (No. 71)
Unique sites:
Li (0.0000, 0.0000, 0.0000) x2  2 F 1.87
V (0.0000, 0.0000, 0.5000) x2  6 F 1.82-1.94
F (0.0000, 0.0000, 0.2494) x4  1 Li 1.87, 1 V 1.87
F (0.0000, 0.2824, 0.5000) x4  1 V 1.82
F (0.0000, 0.5000, 0.0000) x2  2 V 1.94

***

# Li2VF4

A relaxed structure of Li2VF4 (GGA+U, Alexandria).

Results
- relative energy among the computed polymorphs (meV per atom) = 51
- M_tot (μB/f.u.) = 3.00
- raw total energy (eV per atom) = -5.455
- V (Å³/atom) = 11.56

Unit cell a=5.9773 b=9.7326 c=5.5635 alpha=90.00 beta=90.00 gamma=90.00
Closest atoms and distances in Å follow each position.
Space group Pna2_1 (No. 33)
Unique sites:
Li (0.0551, 0.2127, 0.0000) x4  4 F 1.89-2.01
Li (0.1337, 0.9191, 0.1567) x4  4 F 1.85-1.99
V (0.1389, 0.6147, 0.9640) x4  6 F 2.11-2.15
F (0.0825, 0.9761, 0.4961) x4  3 Li 1.87-2.01
F (0.0992, 0.5140, 0.6288) x4  1 Li 1.85
F (0.1150, 0.2512, 0.3272) x4  1 Li 1.89
F (0.1857, 0.7342, 0.2824) x4  3 Li 1.95-1.98, 1 V 2.14

***

# LiVF3

A relaxed structure of LiVF3 (GGA+U, Alexandria).

Results
- relative energy among the computed polymorphs (meV per atom) = 27
- M_tot (μB/f.u.) = 3.00
- raw total energy (eV per atom) = -5.735
- V (Å³/atom) = 11.69

Unit cell a=5.3387 b=5.3387 c=14.2056 alpha=90.00 beta=90.00 gamma=120.00
Closest atoms and distances in Å follow each position.
Space group R-3 (No. 148, hexagonal axes)
Unique sites:
Li (0.0000, 0.0000, 0.1388) x6  3 F 2.00
V (0.0000, 0.0000, 0.3445) x6  6 F 2.12
F (0.0038, 0.6926, 0.7497) x18  1 Li 2.00, 2 V 2.12

***

# Li3VF7

A relaxed structure of Li3VF7 (GGA+U, Alexandria).

Results
- relative energy among the computed polymorphs (meV per atom) = 0
- M_tot (μB/f.u.) = 1.00
- raw total energy (eV per atom) = -5.216
- V (Å³/atom) = 13.51

Unit cell a=6.1476 b=6.1476 c=13.6244 alpha=90.00 beta=90.00 gamma=120.00
Closest atoms and distances in Å follow each position.
Space group R3m (No. 160, hexagonal axes)
Unique sites:
Li (0.1717, 0.3434, 0.0000) x9  4 F 1.78-1.95
V (0.0000, 0.0000, 0.5494) x3  6 F 1.84-1.95
F (0.0000, 0.0000, 0.3008) x3  3 Li 1.78
F (0.0324, 0.5162, 0.2978) x9  1 V 1.95, 2 Li 1.95
F (0.1878, 0.3757, 0.1428) x9  1 V 1.84, 1 Li 1.95